The following is a DFT calculation (PBE) of TcNi3 after structural relaxation.

The structure belongs to space group Pm-3m (No. 221); the cell edges are 3.628, 3.628 and 3.628 Å and the angles 90.00°, 90.00° and 90.00°. Symmetry generates all atoms from Tc at (0.000, 0.000, 0.000) and Ni at (0.000, 0.500, 0.500).

The formation energy from the elements comes out at 0.13 eV per atom. As for the crystal system: cubic.

The following is a DFT calculation (PBE) of TcNi5 after structural relaxation.

The structure belongs to space group Amm2 (No. 38); the cell edges are 4.123, 2.537 and 13.223 Å and the angles 90.00°, 90.00° and 90.00°. Symmetry generates all atoms from Tc at (0.000, 0.000, 0.000), Ni at (0.000, 0.000, 0.332), Ni at (0.000, 0.000, 0.670), Ni at (0.500, 0.000, 0.225), Ni at (0.500, 0.000, 0.562) and Ni at (0.500, 0.000, 0.890).

Its offset from the most stable computed form is 0.018 eV per atom. The formation energy from the elements comes out at 0.03 eV per atom. As for the crystal system: orthorhombic.

The following is a DFT calculation (PBE) of TcNi after structural relaxation.

The structure belongs to space group R-3m (No. 166, hexagonal axes); the cell edges are 2.6728, 2.6728 and 25.2997 Å and the angles 90.00°, 90.00° and 120.00°. Symmetry generates all atoms from Tc at (0.0000, 0.0000, 0.1235) and Ni at (0.0000, 0.0000, 0.3724).

Its offset from the most stable computed form is 0.149 eV per atom. The formation energy from the elements comes out at 0.11 eV per atom. As for the crystal system: trigonal.

The following is a DFT calculation (PBE) of TcNi3 after structural relaxation.

The structure belongs to space group Pmmn (No. 59, origin choice 2); the cell edges are 4.193, 5.068 and 4.404 Å and the angles 90.00°, 90.00° and 90.00°. Symmetry generates all atoms from Tc at (0.250, 0.250, 0.161), Ni at (0.250, 0.502, 0.662) and Ni at (0.250, 0.750, 0.159).

The formation energy from the elements comes out at 0.01 eV per atom. As for the crystal system: orthorhombic.

The following is a DFT calculation (PBE) of Tc3Ni after structural relaxation.

The structure belongs to space group P2/m (No. 10); the cell edges are 2.690, 3.836 and 5.327 Å and the angles 90.00°, 90.10° and 90.00°. Symmetry generates all atoms from Tc at (0.000, 0.000, 0.000), Tc at (0.499, 0.500, 0.258) and Ni at (0.000, 0.000, 0.500).

Its offset from the most stable computed form is 0.152 eV per atom. The formation energy from the elements comes out at 0.05 eV per atom. As for the crystal system: monoclinic.

The following is a DFT calculation (PBE) of TcNi3 after structural relaxation.

The structure belongs to space group Pmm2 (No. 25); the cell edges are 2.540, 4.156 and 4.469 Å and the angles 90.00°, 90.00° and 90.00°. Symmetry generates all atoms from Tc at (0.000, 0.000, 0.000), Ni at (0.000, 0.500, 0.681), Ni at (0.500, 0.000, 0.501) and Ni at (0.500, 0.500, 0.189).

The formation energy from the elements comes out at 0.04 eV per atom. As for the crystal system: orthorhombic.

The following is a DFT calculation (PBE) of TcNi after structural relaxation.

The structure belongs to space group I4_1/amd (No. 141, origin choice 2); the cell edges are 3.720, 3.720 and 7.368 Å and the angles 90.00°, 90.00° and 90.00°. Symmetry generates all atoms from Tc at (0.000, 0.250, 0.375) and Ni at (0.000, 0.250, 0.875).

Its offset from the most stable computed form is 0.047 eV per atom. The formation energy from the elements comes out at 0.01 eV per atom. As for the crystal system: tetragonal.

The following is a DFT calculation (PBE) of TcNi5 after structural relaxation.

The structure belongs to space group Cmmm (No. 65); the cell edges are 3.587, 10.719 and 3.573 Å and the angles 90.00°, 90.00° and 90.00°. Symmetry generates all atoms from Tc at (0.000, 0.000, 0.000), Ni at (0.000, 0.167, 0.500), Ni at (0.000, 0.336, 0.000) and Ni at (0.000, 0.500, 0.500).

Its offset from the most stable computed form is 0.014 eV per atom. The formation energy from the elements comes out at 0.03 eV per atom. As for the crystal system: orthorhombic.